Entry 1:
KSe3 | PBE | relaxed

Values from the calculation:
- Symmetry: No. 187
- Distance to the lowest polymorph of the same formula: 434 meV/atom
- Total DFT energy (no corrections): -2.928 eV/atom
- ΔE_f (raw): -0.041 eV per atom

Cell lengths 3.973, 3.973, 8.236 Å; angles 90.00, 90.00, 120.00 degrees
Element x y z (fractional)
1 K 0.000 0.000 0.000
2 Se 0.000 0.000 0.500
3 Se 0.667 0.333 0.296
4 Se 0.667 0.333 0.704

***

Entry 2:
K3GeSe | PBE | relaxed

Values from the calculation:
- Symmetry: No. 221
- Distance to the lowest polymorph of the same formula: 0 meV/atom
- Total DFT energy (no corrections): -2.546 eV/atom
- ΔE_f (raw): -0.267 eV per atom

Cell lengths 6.271, 6.271, 6.271 Å; angles 90.00, 90.00, 90.00 degrees
Element x y z (fractional)
1 K 0.000 0.000 0.500
2 K 0.000 0.500 0.000
3 K 0.500 0.000 0.000
4 Ge 0.500 0.500 0.500
5 Se 0.000 0.000 0.000

***

Entry 3:
MgCoSn2 | PBE | relaxed

Values from the calculation:
- Symmetry: No. 122
- Total DFT energy (no corrections): -3.882 eV/atom
- ΔH_f (0 K): 294.8 meV per atom

Cell lengths 4.409, 4.409, 18.185 Å; angles 90.00, 90.00, 90.00 degrees
Element x y z (fractional)
1 Mg 0.000 0.000 0.000
2 Mg 0.000 0.500 0.250
3 Mg 0.500 0.000 0.750
4 Mg 0.500 0.500 0.500
5 Co 0.000 0.000 0.500
6 Co 0.000 0.500 0.750
7 Co 0.500 0.000 0.250
8 Co 0.500 0.500 0.000
9 Sn 0.220 0.250 0.625
10 Sn 0.250 0.720 0.875
11 Sn 0.250 0.780 0.375
12 Sn 0.280 0.250 0.125
13 Sn 0.720 0.750 0.125
14 Sn 0.750 0.220 0.375
15 Sn 0.750 0.280 0.875
16 Sn 0.780 0.750 0.625

***

Entry 4:
MnCu5S4 | PBE | relaxed

Values from the calculation:
- Symmetry: No. 59
- Total DFT energy (no corrections): -4.841 eV/atom
- ΔE_f (raw): -0.225 eV per atom

Cell lengths 7.699, 7.813, 5.433 Å; angles 90.00, 90.00, 90.00 degrees
Element x y z (fractional)
1 Mn 0.250 0.250 0.239
2 Mn 0.750 0.750 0.761
3 Cu 0.002 0.015 0.750
4 Cu 0.002 0.485 0.750
5 Cu 0.250 0.750 0.735
6 Cu 0.498 0.015 0.750
7 Cu 0.498 0.485 0.750
8 Cu 0.502 0.515 0.250
9 Cu 0.502 0.985 0.250
10 Cu 0.750 0.250 0.265
11 Cu 0.998 0.515 0.250
12 Cu 0.998 0.985 0.250
13 S 0.003 0.250 0.491
14 S 0.250 0.504 0.007
15 S 0.250 0.996 0.007
16 S 0.497 0.250 0.491
17 S 0.503 0.750 0.509
18 S 0.750 0.004 0.993
19 S 0.750 0.496 0.993
20 S 0.997 0.750 0.509

***

Entry 5:
Cs2TeH | PBE | relaxed

Values from the calculation:
- Symmetry: No. 122
- Distance to the lowest polymorph of the same formula: 0 meV/atom
- Total DFT energy (no corrections): -2.496 eV/atom

Cell lengths 13.185, 13.185, 4.417 Å; angles 90.00, 90.00, 90.00 degrees
Element x y z (fractional)
1 Cs 0.024 0.750 0.125
2 Cs 0.250 0.024 0.875
3 Cs 0.250 0.476 0.375
4 Cs 0.476 0.750 0.625
5 Cs 0.524 0.250 0.625
6 Cs 0.750 0.524 0.375
7 Cs 0.750 0.976 0.875
8 Cs 0.976 0.250 0.125
9 Te 0.000 0.000 0.500
10 Te 0.000 0.500 0.750
11 Te 0.500 0.000 0.250
12 Te 0.500 0.500 0.000
13 H 0.000 0.000 0.000
14 H 0.000 0.500 0.250
15 H 0.500 0.000 0.750
16 H 0.500 0.500 0.500